Version 1
First-principles (GGA-PBE) data for an optimized crystal structure of UPaPS, as listed in Alexandria.

Its calculated volume is 317 Å³ per cell.

It has space group F-43m (No. 216), with a = 6.821 Å, b = 6.821 Å, c = 6.821 Å, α = 90.00°, β = 90.00° and γ = 90.00°. The inequivalent atoms are U at (0.000, 0.000, 0.000), Pa at (0.000, 0.000, 0.500), P at (0.250, 0.250, 0.750) and S at (0.250, 0.250, 0.250).

***

Version 2
First-principles (GGA-PBE) data for an optimized crystal structure of UPaPS, as listed in Alexandria.

Its calculated volume is 85 Å³ per cell.

It has space group P2/m (No. 10), with a = 3.926 Å, b = 3.924 Å, c = 5.546 Å, α = 90.00°, β = 90.10° and γ = 90.00°. The inequivalent atoms are U at (0.000, 0.000, 0.000), Pa at (0.500, 0.500, 0.500), P at (0.000, 0.000, 0.500) and S at (0.500, 0.500, 0.000).

***

We find version 2 to be the most stable, with the next structure 36.7 kJ/mol of atoms higher.

***

Version 1
First-principles (GGA-PBE) data for an optimized crystal structure of PaSbP, as listed in Alexandria.

Its calculated volume is 141 Å³ per cell.

It has space group I4mm (No. 107), with a = 3.595 Å, b = 3.595 Å, c = 10.898 Å, α = 90.00°, β = 90.00° and γ = 90.00°. The inequivalent atoms are Pa at (0.000, 0.000, 0.000), Sb at (0.000, 0.000, 0.298) and P at (0.000, 0.000, 0.604).

***

Version 2
First-principles (GGA-PBE) data for an optimized crystal structure of PaSbP, as listed in Alexandria.

Its calculated volume is 139 Å³ per cell.

It has space group P4/nmm (No. 129, origin choice 2), with a = 4.090 Å, b = 4.090 Å, c = 8.307 Å, α = 90.00°, β = 90.00° and γ = 90.00°. The inequivalent atoms are Pa at (0.250, 0.250, 0.189), Sb at (0.250, 0.750, 0.500) and P at (0.250, 0.250, 0.857).

***

Version 3
First-principles (GGA-PBE) data for an optimized crystal structure of PaSbP, as listed in Alexandria.

Its calculated volume is 75 Å³ per cell.

It has space group P-6m2 (No. 187), with a = 4.5886 Å, b = 4.5886 Å, c = 4.0915 Å, α = 90.00°, β = 90.00° and γ = 120.00°. The inequivalent atoms are Pa at (0.0000, 0.0000, 0.0000), Sb at (0.6667, 0.3333, 0.5000) and P at (0.3333, 0.6667, 0.0000).

***

We find version 2 to be the most stable, with the next structure 29.1 kJ/mol of atoms higher.

***

Version 1
First-principles (GGA-PBE) data for an optimized crystal structure of Pa2SbP, as listed in Alexandria.

Its calculated volume is 91 Å³ per cell.

It has space group P4/mmm (No. 123), with a = 3.528 Å, b = 3.528 Å, c = 7.277 Å, α = 90.00°, β = 90.00° and γ = 90.00°. The inequivalent atoms are Pa at (0.000, 0.000, 0.227), Sb at (0.500, 0.500, 0.500) and P at (0.500, 0.500, 0.000).

***

Version 2
First-principles (GGA-PBE) data for an optimized crystal structure of Pa2SbP, as listed in Alexandria.

Its calculated volume is 305 Å³ per cell.

It has space group R-3m (No. 166, hexagonal axes), with a = 4.0826 Å, b = 4.0826 Å, c = 21.1308 Å, α = 90.00°, β = 90.00° and γ = 120.00°. The inequivalent atoms are Pa at (0.0000, 0.0000, 0.2372), Sb at (0.0000, 0.0000, 0.0000) and P at (0.0000, 0.0000, 0.5000).

***

We find version 2 to be the most stable, with the next structure 22.2 kJ/mol of atoms higher.

***

Version 1
First-principles (GGA-PBE) data for an optimized crystal structure of ScPaP, as listed in Alexandria.

Its calculated volume is 63 Å³ per cell.

It has space group P-6m2 (No. 187), with a = 4.4884 Å, b = 4.4884 Å, c = 3.6244 Å, α = 90.00°, β = 90.00° and γ = 120.00°. The inequivalent atoms are Sc at (0.0000, 0.0000, 0.0000), Pa at (0.6667, 0.3333, 0.5000) and P at (0.3333, 0.6667, 0.0000).

***

Version 2
First-principles (GGA-PBE) data for an optimized crystal structure of ScPaP, as listed in Alexandria.

Its calculated volume is 251 Å³ per cell.

It has space group Cmcm (No. 63), with a = 3.361 Å, b = 22.242 Å, c = 3.359 Å, α = 90.00°, β = 90.00° and γ = 90.00°. The inequivalent atoms are Sc at (0.000, 0.199, 0.250), Pa at (0.000, 0.062, 0.250) and P at (0.000, 0.365, 0.250).

***

We find version 2 to be the most stable, with the next structure 11.9 kJ/mol of atoms higher.

***

Version 1
First-principles (GGA-PBE) data for an optimized crystal structure of PaPSe, as listed in Alexandria.

Its calculated volume is 70 Å³ per cell.

It has space group P3m1 (No. 156), with a = 4.5097 Å, b = 4.5097 Å, c = 3.9977 Å, α = 90.00°, β = 90.00° and γ = 120.00°. The inequivalent atoms are Pa at (0.0000, 0.0000, 0.0000), P at (0.3333, 0.6667, 0.0698) and Se at (0.6667, 0.3333, 0.5389).

***

Version 2
First-principles (GGA-PBE) data for an optimized crystal structure of PaPSe, as listed in Alexandria.

Its calculated volume is 304 Å³ per cell.

It has space group P4_2/m (No. 84), with a = 8.091 Å, b = 8.091 Å, c = 4.644 Å, α = 90.00°, β = 90.00° and γ = 90.00°. The inequivalent atoms are Pa at (0.147, 0.721, 0.000), P at (0.084, 0.869, 0.500) and Se at (0.213, 0.482, 0.500).

***

Version 3
First-principles (GGA-PBE) data for an optimized crystal structure of PaPSe, as listed in Alexandria.

Its calculated volume is 331 Å³ per cell.

It has space group C2/m (No. 12), with a = 8.309 Å, b = 3.926 Å, c = 10.222 Å, α = 90.00°, β = 96.64° and γ = 90.00°. The inequivalent atoms are Pa at (0.070, 0.000, 0.338), P at (0.117, 0.500, 0.551) and Se at (0.228, 0.500, 0.191).

***

Version 4
First-principles (GGA-PBE) data for an optimized crystal structure of PaPSe, as listed in Alexandria.

Its calculated volume is 292 Å³ per cell.

It has space group F-43m (No. 216), with a = 6.632 Å, b = 6.632 Å, c = 6.632 Å, α = 90.00°, β = 90.00° and γ = 90.00°. The inequivalent atoms are Pa at (0.000, 0.000, 0.000), P at (0.250, 0.250, 0.250) and Se at (0.250, 0.250, 0.750).

***

We find version 4 to be the most stable, with the next structure 1.0 kJ/mol of atoms higher.

***

Version 1
First-principles (GGA-PBE) data for an optimized crystal structure of PaPSe, as listed in Alexandria.

Its calculated volume is 123 Å³ per cell.

It has space group I4mm (No. 107), with a = 3.706 Å, b = 3.706 Å, c = 8.951 Å, α = 90.00°, β = 90.00° and γ = 90.00°. The inequivalent atoms are Pa at (0.000, 0.000, 0.000), P at (0.000, 0.000, 0.642) and Se at (0.000, 0.000, 0.340).

***

Version 2
First-principles (GGA-PBE) data for an optimized crystal structure of PaPSe, as listed in Alexandria.

Its calculated volume is 254 Å³ per cell.

It has space group I4/mmm (No. 139), with a = 3.975 Å, b = 3.975 Å, c = 16.102 Å, α = 90.00°, β = 90.00° and γ = 90.00°. The inequivalent atoms are Pa at (0.000, 0.000, 0.121), P at (0.000, 0.500, 0.000) and Se at (0.000, 0.000, 0.315).

***

We find version 2 to be the most stable, with the next structure 21.3 kJ/mol of atoms higher.